1.
First-principles (PBE) data for a relaxed structure of CrCd2Te, as listed in the Alexandria database.

Lattice parameters (Å, degrees): 3.1190 3.3357 9.0384 90.00 90.00 90.00
With the nearest neighbours (Å) after each atom.
Space group Pmmm (No. 47)
Symmetry-distinct sites (fractional):
Cr  0.0000  0.0000  0.0000  8 Cd 2.94, 2 Cr 3.12
Cd  0.5000  0.5000  0.2054  4 Cr 2.94, 2 Cd 3.12
Te  0.0000  0.0000  0.5000  4 Te 3.12-3.34

Computed properties:
DOS at the Fermi energy = 0.470 states/eV per atom
Formation energy without anion corrections = 0.32 eV/atom
Total DFT energy (no corrections) = -3.33 eV per atom

***

2.
First-principles (PBE) data for a relaxed structure of CrCdTe2, as listed in the Alexandria database.

Lattice parameters (Å, degrees): 6.6651 7.6633 3.8516 90.00 90.00 90.00
With the nearest neighbours (Å) after each atom.
Space group Cmmm (No. 65)
Symmetry-distinct sites (fractional):
Cr  0.0000  0.0000  0.0000  8 Te 3.19, 2 Cd 3.33
Cd  0.0000  0.5000  0.0000  8 Te 3.19, 2 Cr 3.33
Te  0.2500  0.2500  0.5000  4 Cd 3.19, 4 Cr 3.19, 2 Te 3.33

Computed properties:
DOS at the Fermi energy = 0.508 states/eV per atom
Formation energy without anion corrections = 0.25 eV/atom
Total DFT energy (no corrections) = -3.96 eV per atom

***

3.
First-principles (PBE) data for a relaxed structure of CrCdTe2, as listed in the Alexandria database.

Lattice parameters (Å, degrees): 3.4262 3.4262 30.5085 90.00 90.00 120.00
With the nearest neighbours (Å) after each atom.
Space group R-3m (No. 166, hexagonal axes)
Symmetry-distinct sites (fractional):
Cr  0.0000  0.0000  0.0000  6 Te 2.63
Cd  0.0000  0.0000  0.5000  2 Te 3.36, 6 Cd 3.43
Te  0.0000  0.0000  0.3900  3 Cr 2.63

Computed properties:
DOS at the Fermi energy = 0.638 states/eV per atom
Formation energy without anion corrections = 0.07 eV/atom
Total DFT energy (no corrections) = -4.14 eV per atom

***

4.
First-principles (PBE) data for a relaxed structure of YCr2CdTe, as listed in the Alexandria database.

Lattice parameters (Å, degrees): 5.0233 5.0233 5.5773 90.00 90.00 90.00
With the nearest neighbours (Å) after each atom.
Space group P4/mmm (No. 123)
Symmetry-distinct sites (fractional):
Y  0.0000  0.0000  0.0000  4 Cd 3.55, 8 Cr 3.75
Cr  0.0000  0.5000  0.5000  2 Te 2.51
Cd  0.5000  0.5000  0.0000  2 Te 2.79
Te  0.5000  0.5000  0.5000  4 Cr 2.51, 2 Cd 2.79

Computed properties:
DOS at the Fermi energy = 0.746 states/eV per atom
Formation energy without anion corrections = 0.80 eV/atom
Total DFT energy (no corrections) = -5.15 eV per atom

***

5.
First-principles (PBE) data for a relaxed structure of Ti2Cr2Cd, as listed in the Alexandria database.

Lattice parameters (Å, degrees): 7.1331 7.1331 3.0883 90.00 90.00 90.00
With the nearest neighbours (Å) after each atom.
Space group P4/mbm (No. 127)
Symmetry-distinct sites (fractional):
Ti  0.1932  0.3068  0.0000  6 Cr 2.61-2.68
Cr  0.0985  0.5985  0.5000  1 Cr 1.99
Cd  0.0000  0.0000  0.5000  4 Cr 2.95, 8 Ti 3.01, 2 Cd 3.09

Computed properties:
DOS at the Fermi energy = 1.178 states/eV per atom
Total DFT energy (no corrections) = -7.03 eV per atom
Energy of formation = 0.161 eV per atom

***

6.
First-principles (PBE) data for a relaxed structure of TiCrCd, as listed in the Alexandria database.

Lattice parameters (Å, degrees): 4.6815 4.6815 5.3822 90.00 90.00 90.00
With the nearest neighbours (Å) after each atom.
Space group P4/nmm (No. 129, origin choice 2)
Symmetry-distinct sites (fractional):
Ti  0.2500  0.2500  0.0682  4 Cr 2.37
Cr  0.2500  0.7500  0.0000  4 Ti 2.37
Cd  0.2500  0.7500  0.5000  2 Cr 2.69

Computed properties:
DOS at the Fermi energy = 1.035 states/eV per atom
Total DFT energy (no corrections) = -5.41 eV per atom
Energy of formation = 0.734 eV per atom

***

7.
First-principles (PBE) data for a relaxed structure of TiCr2Cd, as listed in the Alexandria database.

Lattice parameters (Å, degrees): 3.7909 3.7909 18.3854 90.00 90.00 90.00
With the nearest neighbours (Å) after each atom.
Space group I-42d (No. 122)
Symmetry-distinct sites (fractional):
Ti  0.0000  0.0000  0.0000  4 Cr 2.58, 4 Cd 2.68
Cr  0.1795  0.2500  0.1250  2 Cr 2.33, 2 Ti 2.58
Cd  0.0000  0.0000  0.5000  4 Ti 2.68, 4 Cr 2.77

Computed properties:
DOS at the Fermi energy = 1.538 states/eV per atom
Total DFT energy (no corrections) = -6.17 eV per atom
Energy of formation = 0.843 eV per atom

***

8.
First-principles (PBE) data for a relaxed structure of Ti2CrCd2, as listed in the Alexandria database.

Lattice parameters (Å, degrees): 3.6434 3.6434 14.9678 90.00 90.00 90.00
With the nearest neighbours (Å) after each atom.
Space group I4/mmm (No. 139)
Symmetry-distinct sites (fractional):
Ti  0.0000  0.0000  0.0817  1 Ti 2.45
Cr  0.0000  0.0000  0.5000  8 Ti 2.85
Cd  0.0000  0.5000  0.2500  4 Cd 2.58

Computed properties:
DOS at the Fermi energy = 1.053 states/eV per atom
Total DFT energy (no corrections) = -4.67 eV per atom
Energy of formation = 0.777 eV per atom

***

9.
First-principles (PBE) data for a relaxed structure of Ti2CrCd2, as listed in the Alexandria database.

Lattice parameters (Å, degrees): 6.1827 6.1827 4.8248 90.00 90.00 90.00
With the nearest neighbours (Å) after each atom.
Space group P4/mbm (No. 127)
Symmetry-distinct sites (fractional):
Ti  0.1586  0.3414  0.0000  2 Cr 2.33
Cr  0.0000  0.0000  0.0000  4 Ti 2.33
Cd  0.1644  0.6644  0.5000  6 Ti 2.87-3.13, 1 Cd 2.87

Computed properties:
DOS at the Fermi energy = 0.911 states/eV per atom
Total DFT energy (no corrections) = -5.03 eV per atom
Energy of formation = 0.420 eV per atom

***

10.
First-principles (PBE) data for a relaxed structure of TiTl2CrCd, as listed in the Alexandria database.

Lattice parameters (Å, degrees): 5.3347 5.3347 4.2692 90.00 90.00 90.00
With the nearest neighbours (Å) after each atom.
Space group P4/mmm (No. 123)
Symmetry-distinct sites (fractional):
Ti  0.0000  0.0000  0.0000  2 Cr 2.13
Tl  0.0000  0.5000  0.5000  2 Cr 2.67
Cr  0.0000  0.0000  0.5000  2 Ti 2.13
Cd  0.5000  0.5000  0.0000  8 Tl 3.42, 4 Ti 3.77

Computed properties:
DOS at the Fermi energy = 0.572 states/eV per atom
Total DFT energy (no corrections) = -4.08 eV per atom
Energy of formation = 0.550 eV per atom

***

11.
First-principles (PBE) data for a relaxed structure of TlCrCd2, as listed in the Alexandria database.

Lattice parameters (Å, degrees): 3.2929 3.2929 29.3232 90.00 90.00 120.00
With the nearest neighbours (Å) after each atom.
Space group R-3m (No. 166, hexagonal axes)
Symmetry-distinct sites (fractional):
Tl  0.0000  0.0000  0.0000  6 Tl 3.29, 6 Cd 3.29
Cr  0.0000  0.0000  0.5000  6 Cd 2.91
Cd  0.0000  0.0000  0.2416  3 Cr 2.91

Computed properties:
DOS at the Fermi energy = 0.600 states/eV per atom
Total DFT energy (no corrections) = -3.10 eV per atom
Energy of formation = 0.354 eV per atom

***

12.
First-principles (PBE) data for a relaxed structure of Tl2CrCd, as listed in the Alexandria database.

Lattice parameters (Å, degrees): 3.5829 3.9808 6.7996 90.00 90.00 90.00
With the nearest neighbours (Å) after each atom.
Space group Pmmm (No. 47)
Symmetry-distinct sites (fractional):
Tl  0.0000  0.0000  0.2377  4 Cr 3.13, 4 Cd 3.22, 1 Tl 3.23
Cr  0.5000  0.5000  0.0000  8 Tl 3.13, 2 Cd 3.40
Cd  0.5000  0.5000  0.5000  8 Tl 3.22, 2 Cr 3.40, 2 Cd 3.58

Computed properties:
DOS at the Fermi energy = 0.437 states/eV per atom
Total DFT energy (no corrections) = -3.41 eV per atom
Energy of formation = 0.413 eV per atom

***

13.
First-principles (PBE) data for a relaxed structure of Tl2CrCd, as listed in the Alexandria database.

Lattice parameters (Å, degrees): 3.4622 3.4622 28.1800 90.00 90.00 120.00
With the nearest neighbours (Å) after each atom.
Space group R-3m (No. 166, hexagonal axes)
Symmetry-distinct sites (fractional):
Tl  0.0000  0.0000  0.2450  3 Cr 2.98, 3 Cd 3.19
Cr  0.0000  0.0000  0.5000  6 Tl 2.98
Cd  0.0000  0.0000  0.0000  6 Tl 3.19, 6 Cd 3.46

Computed properties:
DOS at the Fermi energy = 0.517 states/eV per atom
Total DFT energy (no corrections) = -3.40 eV per atom
Energy of formation = 0.414 eV per atom

***

14.
First-principles (PBE) data for a relaxed structure of Tl2CrCd, as listed in the Alexandria database.

Lattice parameters (Å, degrees): 7.2700 7.2700 7.2700 90.00 90.00 90.00
With the nearest neighbours (Å) after each atom.
Space group Fm-3m (No. 225)
Symmetry-distinct sites (fractional):
Tl  0.2500  0.2500  0.2500  4 Cd 3.15, 4 Cr 3.15
Cr  0.0000  0.0000  0.0000  8 Tl 3.15
Cd  0.0000  0.0000  0.5000  8 Tl 3.15

Computed properties:
DOS at the Fermi energy = 0.376 states/eV per atom
Total DFT energy (no corrections) = -3.40 eV per atom
Energy of formation = 0.418 eV per atom